1.
Below is a relaxed ReTe3S crystal, with properties calculated at the PBE-GGA level.

```
data_ReTe3S
_chemical_formula_sum 'Re1 Te3 S1'
_symmetry_space_group_name_H-M 'P 1'
_symmetry_Int_Tables_number 1
_cell_length_a 5.192
_cell_length_b 5.192
_cell_length_c 5.192
_cell_angle_alpha 90.00
_cell_angle_beta 90.00
_cell_angle_gamma 90.00
loop_
_symmetry_equiv_pos_as_xyz
'x,y,z'
loop_
_atom_site_label
_atom_site_type_symbol
_atom_site_fract_x
_atom_site_fract_y
_atom_site_fract_z
S1 S 0.500 0.500 0.500
Te1 Te 0.000 0.000 0.500
Te2 Te 0.000 0.500 0.000
Te3 Te 0.500 0.000 0.000
Re1 Re 0.000 0.000 0.000
```

Values from the calculation:
DOS at the Fermi energy ... 7.38 states/eV per cell
E above lowest polymorph ... 0 meV/atom
Uncorrected formation energy ... 847 meV per atom
Total magnetic moment ... 0.00 μB per atom

2.
Below is a relaxed LiSiN crystal, with properties calculated at the PBE-GGA level.

```
data_LiSiN
_chemical_formula_sum 'Li2 Si2 N2'
_symmetry_space_group_name_H-M 'P 1'
_symmetry_Int_Tables_number 1
_cell_length_a 2.860
_cell_length_b 4.623
_cell_length_c 5.482
_cell_angle_alpha 86.00
_cell_angle_beta 89.88
_cell_angle_gamma 72.19
loop_
_symmetry_equiv_pos_as_xyz
'x,y,z'
loop_
_atom_site_label
_atom_site_type_symbol
_atom_site_fract_x
_atom_site_fract_y
_atom_site_fract_z
N1 N 0.108 0.908 0.697
Li1 Li 0.607 0.908 0.409
Si1 Si 0.623 0.876 0.884
N2 N 0.465 0.190 0.073
Li2 Li 0.339 0.428 0.627
Si2 Si 0.853 0.414 0.158
```

Values from the calculation:
DOS at the Fermi energy ... 0.19 states/eV per cell
E above lowest polymorph ... 0 meV/atom
Uncorrected formation energy ... -612 meV per atom
Total magnetic moment ... 0.00 μB per atom